No. 1
# MnCr2Co

A relaxed MnCr2Co crystal (PBEsol, Alexandria).

Summary:
Final energy: -37.6 eV/f.u.
DFT formation energy: 0.098 eV/atom

Cell and atoms, written as CIF:
```
data_MnCr2Co
_chemical_formula_sum 'Mn1 Cr2 Co1'
_cell_length_a 2.838
_cell_length_b 2.838
_cell_length_c 5.523
_cell_angle_alpha 90.00
_cell_angle_beta 90.00
_cell_angle_gamma 90.00
_space_group_name_H-M_alt 'P 4 m m'
_space_group_IT_number 99
_space_group_name_Hall 'P 4 -2'
loop_
_atom_site_label
_atom_site_type_symbol
_atom_site_fract_x
_atom_site_fract_y
_atom_site_fract_z
Mn1 Mn 0.000 0.000 0.000
Cr1 Cr 0.000 0.000 0.505
Cr2 Cr 0.500 0.500 0.751
Co1 Co 0.500 0.500 0.253
```

---

No. 2
# MnCr2Co

A relaxed MnCr2Co crystal (PBEsol, Alexandria).

Summary:
Final energy: -37.7 eV/f.u.
DFT formation energy: 0.081 eV/atom

Cell and atoms, written as CIF:
```
data_MnCr2Co
_chemical_formula_sum 'Mn1 Cr2 Co1'
_cell_length_a 2.885
_cell_length_b 3.886
_cell_length_c 3.950
_cell_angle_alpha 90.00
_cell_angle_beta 90.00
_cell_angle_gamma 90.00
_space_group_name_H-M_alt 'P m m m'
_space_group_IT_number 47
_space_group_name_Hall '-P 2 2'
loop_
_atom_site_label
_atom_site_type_symbol
_atom_site_fract_x
_atom_site_fract_y
_atom_site_fract_z
Mn1 Mn 0.000 0.000 0.000
Cr1 Cr 0.000 0.500 0.500
Cr2 Cr 0.500 0.000 0.500
Co1 Co 0.500 0.500 0.000
```

---

No. 3
# MnCrCo6

A relaxed MnCrCo6 crystal (PBEsol, Alexandria).

Summary:
Final energy: -66.3 eV/f.u.
DFT formation energy: 0.020 eV/atom

Cell and atoms, written as CIF:
```
data_MnCrCo6
_chemical_formula_sum 'Mn8 Cr8 Co48'
_cell_length_a 6.877
_cell_length_b 9.733
_cell_length_c 9.737
_cell_angle_alpha 90.00
_cell_angle_beta 90.00
_cell_angle_gamma 90.00
_space_group_name_H-M_alt 'C m m m'
_space_group_IT_number 65
_space_group_name_Hall '-C 2 2'
loop_
_atom_site_label
_atom_site_type_symbol
_atom_site_fract_x
_atom_site_fract_y
_atom_site_fract_z
Mn1 Mn 0.000 0.000 0.249
Mn2 Mn 0.000 0.251 0.000
Cr1 Cr 0.000 0.251 0.500
Cr2 Cr 0.000 0.500 0.249
Co1 Co 0.000 0.000 0.000
Co2 Co 0.000 0.000 0.500
Co3 Co 0.000 0.251 0.251
Co4 Co 0.000 0.500 0.000
Co5 Co 0.000 0.500 0.500
Co6 Co 0.249 0.374 0.376
Co7 Co 0.249 0.375 0.126
```